No. 1
# InNi2HAu

A relaxed structure of InNi2HAu (PBE, Alexandria via LeMat-Bulk).

Calculated values
ΔE to the lowest computed polymorph, meV/atom: 59
Raw total energy, eV/cell: -20.57
Size of the total moment, μB per cell: 0.0

Unit cell a=3.8752 b=3.8752 c=4.1896 alpha=90.00 beta=90.00 gamma=90.00
Atoms (fractional coordinates):
In  0.0000  0.0000  0.0000
Ni  0.0000  0.5000  0.5000
Ni  0.5000  0.0000  0.5000
H  0.0000  0.0000  0.5000
Au  0.5000  0.5000  0.0000

***

No. 2
# MgZrGe2Se

A relaxed structure of MgZrGe2Se (PBE, Alexandria via LeMat-Bulk).

Calculated values
ΔE_f (raw), eV/atom: 0.526
Raw total energy, eV/cell: -20.23
Size of the total moment, μB per cell: 0.0

Unit cell a=4.8855 b=4.8855 c=4.8986 alpha=90.00 beta=90.00 gamma=90.00
Atoms (fractional coordinates):
Mg  0.0000  0.0000  0.0000
Zr  0.5000  0.5000  0.5000
Ge  0.0000  0.5000  0.0000
Ge  0.5000  0.0000  0.0000
Se  0.0000  0.0000  0.5000

***

Copy entry 2 word for word.
# MgZrGe2Se

A relaxed structure of MgZrGe2Se (PBE, Alexandria via LeMat-Bulk).

Calculated values
ΔE_f (raw), eV/atom: 0.526
Raw total energy, eV/cell: -20.23
Size of the total moment, μB per cell: 0.0

Unit cell a=4.8855 b=4.8855 c=4.8986 alpha=90.00 beta=90.00 gamma=90.00
Atoms (fractional coordinates):
Mg  0.0000  0.0000  0.0000
Zr  0.5000  0.5000  0.5000
Ge  0.0000  0.5000  0.0000
Ge  0.5000  0.0000  0.0000
Se  0.0000  0.0000  0.5000